DFT (PBE with a Hubbard U) results for an optimized crystal structure of ZnMoIO2.

* calculated volume: 96 Å³/cell
* calculated density: 5.530 g/cm³
* crystal system: tetragonal
* magnetic moment: 3.16 μB per formula unit
* final energy: -3.775 eV per atom

```
5
Lattice="4.0681 0.0000 0.0000 0.0000 4.0681 0.0000 0.0000 0.0000 5.8104" Properties=species:S:1:pos:R:3 pbc="T T T"
I 0.0000 0.0000 2.9052
Mo 2.0341 2.0341 2.9052
Zn 0.0000 0.0000 0.0000
O 0.0000 2.0341 0.0000
O 2.0341 0.0000 0.0000
```